# 1
VASP calculation (SCAN) on a crystal of SnI2Cl relaxed with PBEsol.

Computed properties:
N(E_F): 19.57 states/eV/cell
raw formation energy: -23 kJ/mol of formula units
raw total energy: -29.41 eV/atom
symmetry: Fm-3m

Lattice parameters (Å, degrees): 7.6170 7.6170 7.6170 90.00 90.00 90.00
Closest atoms and distances in Å follow each position.
Positions (direct):
Sn: 0.0000 0.0000 0.0000  8 I 3.30
Sn: 0.0000 0.5000 0.5000  8 I 3.30
Sn: 0.5000 0.0000 0.5000  8 I 3.30
Sn: 0.5000 0.5000 0.0000  8 I 3.30
I: 0.2500 0.2500 0.2500  4 Cl 3.30, 4 Sn 3.30
I: 0.2500 0.2500 0.7500  4 Sn 3.30, 4 Cl 3.30
I: 0.2500 0.7500 0.2500  4 Sn 3.30, 4 Cl 3.30
I: 0.2500 0.7500 0.7500  4 Cl 3.30, 4 Sn 3.30
I: 0.7500 0.2500 0.2500  4 Sn 3.30, 4 Cl 3.30
I: 0.7500 0.2500 0.7500  4 Cl 3.30, 4 Sn 3.30
I: 0.7500 0.7500 0.2500  4 Cl 3.30, 4 Sn 3.30
I: 0.7500 0.7500 0.7500  4 Sn 3.30, 4 Cl 3.30
Cl: 0.0000 0.0000 0.5000  8 I 3.30
Cl: 0.0000 0.5000 0.0000  8 I 3.30
Cl: 0.5000 0.0000 0.0000  8 I 3.30
Cl: 0.5000 0.5000 0.5000  8 I 3.30

=====

# 2
VASP calculation (SCAN) on a crystal of SnICl relaxed with PBEsol.

Computed properties:
N(E_F): 0.00 states/eV/cell
raw formation energy: -213 kJ/mol of formula units
raw total energy: -27.62 eV/atom
symmetry: Pnma

Lattice parameters (Å, degrees): 8.2654 4.3145 9.9741 90.00 90.00 90.00
Closest atoms and distances in Å follow each position.
Positions (direct):
Sn: 0.1563 0.2500 0.1468  3 Cl 2.68-2.93
Sn: 0.3437 0.7500 0.6468  3 Cl 2.68-2.93
Sn: 0.6563 0.2500 0.3532  3 Cl 2.68-2.93
Sn: 0.8437 0.7500 0.8532  3 Cl 2.68-2.93
I: 0.0057 0.7500 0.3303  2 Sn 3.09
I: 0.4943 0.2500 0.8303  2 Sn 3.09
I: 0.5057 0.7500 0.1697  2 Sn 3.09
I: 0.9943 0.2500 0.6697  2 Sn 3.09
Cl: 0.1470 0.7500 0.9475  3 Sn 2.68-2.93
Cl: 0.3530 0.2500 0.4475  3 Sn 2.68-2.93
Cl: 0.6470 0.7500 0.5525  3 Sn 2.68-2.93
Cl: 0.8530 0.2500 0.0525  3 Sn 2.68-2.93

=====

What is the formula in the second record? SnICl